No. 1
The following is a PBE-GGA calculation of a relaxed CaIrSe2N crystal, from Alexandria via LeMat-Bulk.

Computed properties:
DOS(E_F), states/eV per cell: 1.52
Formation energy without anion corrections, eV per atom: -0.42
Final energy, eV per atom: -5.66
Total magnetization, Bohr magnetons per cell: 0.00

a = 5.252 Å, b = 5.252 Å, c = 3.697 Å
α = 90.00°, β = 90.00°, γ = 90.00°
Element x y z (fractional)
Ca 0.000 0.000 0.000
Ir 0.500 0.500 0.500
Se 0.000 0.500 0.500
Se 0.500 0.000 0.500
N 0.500 0.500 0.000


No. 2
The following is a PBE-GGA calculation of a relaxed CaCdMo2 crystal, from Alexandria via LeMat-Bulk.

Computed properties:
Formation energy from the elements, eV/atom: 0.251
DOS(E_F), states/eV per cell: 3.29
Final energy, eV per atom: -5.89
Total magnetization, Bohr magnetons per cell: 0.00

a = 3.304 Å, b = 3.314 Å, c = 7.714 Å
α = 90.00°, β = 91.79°, γ = 90.00°
Element x y z (fractional)
Ca 0.000 0.000 0.000
Cd 0.520 0.500 0.307
Mo 0.050 0.000 0.555
Mo 0.500 0.500 0.710